Here is an optimized crystal structure of SrAsCl2 from Alexandria. Energies are from PBE.

Computed properties:
Total moment (μB per atom): 0.7509
Uncorrected formation energy (kJ/mol of atoms): -72.5
VASP energy (eV/atom): -3.257
Crystal system: cubic
Relative energy among the computed polymorphs (eV/atom): 0.4457

Unit cell a=5.343 b=5.343 c=5.343 alpha=60.00 beta=60.00 gamma=60.00
Last column: magnetic moment on the atom in μB.
Sites, in units of the cell vectors:
Cl: 0.000 0.000 0.000  0.12
Cl: 0.250 0.250 0.250  0.32
Sr: 0.750 0.750 0.750  0.10
As: 0.500 0.500 0.500  1.06

***

Here is an optimized crystal structure of ReSi4Mo from Alexandria. Energies are from PBE.

Computed properties:
Total moment (μB per atom): 0.0000
Uncorrected formation energy (kJ/mol of atoms): 47.4
VASP energy (eV/atom): -7.004
Crystal system: cubic
Relative energy among the computed polymorphs (eV/atom): 0.8606

Unit cell a=4.811 b=4.811 c=4.811 alpha=60.00 beta=60.00 gamma=60.00
Sites, in units of the cell vectors:
Re: 0.000 0.000 0.000
Mo: 0.750 0.750 0.750
Si: 0.375 0.375 0.874
Si: 0.375 0.874 0.375
Si: 0.874 0.375 0.375
Si: 0.375 0.375 0.375

***

Here is an optimized crystal structure of ZrAsP2Cl from Alexandria. Energies are from PBE.

Computed properties:
Total moment (μB per atom): 0.0004
Uncorrected formation energy (kJ/mol of atoms): 22.1
VASP energy (eV/atom): -4.943
Crystal system: tetragonal
Relative energy among the computed polymorphs (eV/atom): 0.0000

Unit cell a=5.131 b=5.131 c=4.805 alpha=90.00 beta=90.00 gamma=90.00
Sites, in units of the cell vectors:
As: 0.500 0.500 0.500
P: 0.500 0.000 0.000
P: 0.000 0.500 0.000
Cl: 0.000 0.000 0.500
Zr: 0.000 0.000 0.000

***

Look up the uncorrected formation energy of the first one. -72.5 kJ/mol of atoms